Entry 1:
4
Lattice="4.7746 0.0000 0.0000 0.0000 4.7746 0.0000 0.0000 0.0000 4.7814" Properties=species:S:1:pos:R:3 comment="HoLu2Hf, optimized geometry, DFT PBE" sg="P4/mmm, No. 123" polymorph_energy_mev_per_atom=0 delta_e_f_ev_per_fu=0.5 dos_ef_per_ev_atom=1.4124 mass_density_g_cm3=10.56 pbc="T T T"
Ho 0.0000 0.0000 0.0000
Lu 0.0000 2.3873 2.3907
Lu 2.3873 0.0000 2.3907
Hf 2.3873 2.3873 0.0000

***

Entry 2:
10
Lattice="5.1358 0.0000 0.0000 2.0444 4.8908 0.0000 1.0771 2.3510 4.6463" Properties=species:S:1:pos:R:3 comment="NpBeZn2O6, optimized geometry, DFT PBE" sg="P1, No. 1" e_form_raw_ev_per_atom=-2.09 mass_density_g_cm3=6.73 pbc="T T T"
Np 0.0000 0.0000 0.0000
Be 5.7705 5.5572 3.0502
Zn 3.5636 4.1287 3.0454
Zn 6.1530 2.4118 1.5724
O 1.6582 1.1098 0.0631
O 2.7189 3.5639 1.3995
O 4.1525 6.0708 3.1068
O 5.5431 3.8037 3.1144
O 4.5064 1.1195 1.6910
O 6.6452 6.0461 4.3980

***

Entry 3:
6
Lattice="4.0662 0.0000 0.0000 1.3066 3.8870 0.0000 0.5974 0.4812 5.2261" Properties=species:S:1:pos:R:3 comment="FeRhS, optimized geometry, DFT PBE" sg="P1, No. 1" polymorph_energy_mev_per_atom=133 e_form_raw_ev_per_atom=-0.07 dos_ef_per_ev_atom=0.9742 mass_density_g_cm3=7.67 pbc="T T T"
Fe 0.0000 0.0000 0.0000
Fe 2.7069 1.9931 1.4361
Rh 0.6279 0.5257 2.5895
Rh 3.8728 2.9100 3.9704
S 2.6375 1.2546 4.8986
S 4.7493 2.6912 1.8100

***

Entry 4:
10
Lattice="4.3831 0.0000 0.0000 0.0000 4.3831 0.0000 0.0000 0.0000 10.9822" Properties=species:S:1:pos:R:3 comment="Ac2TbSi4Pt3, optimized geometry, DFT PBE" sg="P-4m2, No. 115" e_form_raw_ev_per_atom=-0.96 dos_ef_per_ev_atom=0.4643 mass_density_g_cm3=10.31 pbc="T T T"
Ac 0.0000 2.1915 2.5494
Ac 2.1915 0.0000 8.4327
Tb 0.0000 0.0000 5.4911
Si 0.0000 0.0000 0.0000
Si 0.0000 2.1915 7.2836
Si 2.1915 0.0000 3.6986
Si 2.1915 2.1915 0.0000
Pt 0.0000 2.1915 9.8114
Pt 2.1915 0.0000 1.1707
Pt 2.1915 2.1915 5.4911

***

Entry 5:
10
Lattice="5.0302 0.0000 0.0000 -2.5151 4.3563 0.0000 0.0000 0.0000 12.9138" Properties=species:S:1:pos:R:3 comment="PmMg2Sn2, optimized geometry, DFT PBE" sg="P6_3/mmc, No. 194" polymorph_energy_mev_per_atom=323 delta_e_f_ev_per_fu=-0.3 dos_ef_per_ev_atom=0.6556 mass_density_g_cm3=5.06 pbc="T T T"
Pm 0.0000 0.0000 3.2285
Pm 0.0000 0.0000 9.6854
Mg 0.0000 0.0000 0.0000
Mg 0.0000 0.0000 6.4569
Mg 0.0000 2.9042 3.2285
Mg 2.5151 1.4521 9.6854
Sn 0.0000 2.9042 8.0843
Sn 0.0000 2.9042 11.2865
Sn 2.5151 1.4521 1.6274
Sn 2.5151 1.4521 4.8296

***

Entry 6:
6
Lattice="3.4387 0.0000 0.0000 0.0000 5.0683 0.0000 -0.0065 0.0000 8.7779" Properties=species:S:1:pos:R:3 comment="NdThHg4, optimized geometry, DFT PBE" sg="P2/m, No. 10" polymorph_energy_mev_per_atom=0 delta_e_f_ev_per_fu=-2.1 dos_ef_per_ev_atom=0.6034 mass_density_g_cm3=12.79 pbc="T T T"
Nd 0.0000 0.0000 0.0000
Th -0.0032 2.5341 4.3890
Hg 1.7084 0.0000 5.8589
Hg 1.7083 2.5341 7.3255
Hg 1.7238 0.0000 2.9190
Hg 1.7239 2.5341 1.4524

***

Entry 7:
5
Lattice="4.8713 0.0000 0.0000 0.0000 4.8713 0.0000 0.0000 0.0000 5.4168" Properties=species:S:1:pos:R:3 comment="CsLiGa2Ir, optimized geometry, DFT PBE" sg="P4/mmm, No. 123" delta_e_f_ev_per_fu=-1.1 dos_ef_per_ev_atom=0.4166 mass_density_g_cm3=6.09 pbc="T T T"
Cs 0.0000 0.0000 0.0000
Li 2.4357 2.4357 0.0000
Ga 0.0000 2.4357 2.7084
Ga 2.4357 0.0000 2.7084
Ir 2.4357 2.4357 2.7084

***

Entry 8:
5
Lattice="4.0563 0.0000 0.0000 0.0000 4.0563 0.0000 0.0000 0.0000 5.6769" Properties=species:S:1:pos:R:3 comment="LiAuSeN2, optimized geometry, DFT PBE" sg="P4/mmm, No. 123" polymorph_energy_mev_per_atom=1 e_form_raw_ev_per_atom=1.29 dos_ef_per_ev_atom=0.6406 mass_density_g_cm3=5.53 pbc="T T T"
Li 0.0000 0.0000 0.0000
Au 2.0282 2.0282 2.8385
Se 2.0282 2.0282 0.0000
N 0.0000 2.0282 2.8385
N 2.0282 0.0000 2.8385

***

Entry 9:
4
Lattice="1.4229 0.8215 10.1773 -1.4229 0.8215 10.1773 0.0000 -1.6431 10.1773" Properties=species:S:1:pos:R:3 comment="KZn2Os, optimized geometry, DFT PBE" sg="R-3m, No. 166" polymorph_energy_mev_per_atom=123 delta_e_f_ev_per_fu=2.1 dos_ef_per_ev_atom=0.6120 mass_density_g_cm3=8.38 pbc="T T T"
K 0.0000 0.0000 0.0000
Zn 0.0000 0.0000 7.2328
Zn 0.0000 0.0000 23.2990
Os 0.0000 0.0000 15.2659

***

Entry 10:
22
Lattice="1.7834 -13.0494 0.0000 1.7834 13.0494 0.0000 0.0000 0.0000 14.0687" Properties=species:S:1:pos:R:3 comment="Na7Tl3Au, optimized geometry, DFT PBE" sg="Cmcm, No. 63" delta_e_f_ev_per_fu=-1.3 dos_ef_per_ev_atom=0.4040 mass_density_g_cm3=4.92 pbc="T T T"
Na 1.7834 11.7707 8.9487
Na 1.7834 11.7707 12.1543
Na 1.7834 10.9540 1.4569
Na 1.7834 10.9540 5.5774
Na 1.7834 8.5017 10.5515
Na 1.7834 7.1793 1.4893
Na 1.7834 7.1793 5.5450
Na 1.7834 -7.1793 8.5236
Na 1.7834 -7.1793 12.5793
Na 1.7834 -8.5017 3.5172
Na 1.7834 -10.9540 8.4912
Na 1.7834 -10.9540 12.6117
Na 1.7834 -11.7707 1.9144
Na 1.7834 -11.7707 5.1199
Tl 1.7834 3.9592 0.6526
Tl 1.7834 3.9592 6.3818
Tl 1.7834 3.9050 10.5515
Tl 1.7834 -3.9050 3.5172
Tl 1.7834 -3.9592 7.6869
Tl 1.7834 -3.9592 13.4161
Au 1.7834 0.7557 10.5515
Au 1.7834 -0.7557 3.5172

***

Entry 11:
4
Lattice="2.6053 -4.3178 0.0000 2.6053 4.3178 0.0000 -0.9201 0.0000 2.4092" Properties=species:S:1:pos:R:3 comment="Zn2CoRe, optimized geometry, DFT PBE" sg="C2/m, No. 12" polymorph_energy_mev_per_atom=178 delta_e_f_ev_per_fu=0.8 dos_ef_per_ev_atom=0.8308 mass_density_g_cm3=11.52 pbc="T T T"
Zn 1.3027 2.1589 0.0000
Zn 1.3027 -2.1589 0.0000
Co -0.4601 0.0000 1.2046
Re 2.1452 0.0000 1.2046

***

Entry 12:
7
Lattice="-2.3745 2.3745 7.1559 2.3745 -2.3745 7.1559 2.3745 2.3745 -7.1559" Properties=species:S:1:pos:R:3 comment="Rb2SnF4, optimized geometry, DFT PBE" sg="I4/mmm, No. 139" polymorph_energy_mev_per_atom=0 e_form_raw_ev_per_atom=-2.50 dos_ef_per_ev_atom=0.0000 mass_density_g_cm3=3.76 pbc="T T T"
Rb 0.0000 0.0000 2.0872
Rb 0.0000 0.0000 12.2246
Sn 0.0000 0.0000 7.1559
F 2.3745 0.0000 0.0000
F 0.0000 0.0000 4.7864
F 0.0000 2.3745 0.0000
F 0.0000 0.0000 9.5253